Entry 1:
The following is a PBE calculation of crystalline Tb4Ho3Tm8 at its relaxed geometry, from Alexandria via LeMat-Bulk.

Calculated values
The value obtained for the energy of formation from the pure elements is 403 meV per atom.

a = 13.1815 Å, b = 12.7565 Å, c = 6.6293 Å
α = 90.00°, β = 120.13°, γ = 90.00°
Space group C2/m (No. 12)
Inequivalent atoms, fractional coordinates:
Tb1 0.0000 0.0000 0.0000 x2
Tb2 0.0000 0.0000 0.5000 x2
Tb3 0.2500 0.2500 0.0000 x4
Ho1 0.0000 0.5000 0.0000 x2
Ho2 0.2500 0.2500 0.5000 x4
Tm1 0.0000 0.2525 0.0000 x4
Tm2 0.0000 0.3621 0.5000 x4
Tm3 0.2329 0.5000 0.9709 x4
Tm4 0.2340 0.5000 0.4920 x4



Entry 2:
The following is a PBE calculation of crystalline Ba2GdPaO6 at its relaxed geometry, from Alexandria via LeMat-Bulk.

Calculated values
The calculation puts the total energy at -9.004 eV per atom.

a = 8.9250 Å, b = 8.9250 Å, c = 8.9250 Å
α = 90.00°, β = 90.00°, γ = 90.00°
Space group Fm-3m (No. 225)
Inequivalent atoms, fractional coordinates:
Ba1 0.2500 0.2500 0.2500 x8
Gd1 0.0000 0.0000 0.0000 x4
Pa1 0.0000 0.0000 0.5000 x4
O1 0.0000 0.0000 0.2558 x24



Entry 3:
The following is a PBE calculation of crystalline YZrSc at its relaxed geometry, from Alexandria via LeMat-Bulk.

Calculated values
The value obtained for the energy of formation from the pure elements is 67 meV per atom.

a = 3.3322 Å, b = 3.3322 Å, c = 14.2026 Å
α = 90.00°, β = 90.00°, γ = 90.00°
Space group I4mm (No. 107)
Inequivalent atoms, fractional coordinates:
Y1 0.0000 0.0000 0.0000 x2
Zr1 0.0000 0.0000 0.6669 x2
Sc1 0.0000 0.0000 0.3154 x2



Entry 4:
The following is a PBE calculation of crystalline LiTl at its relaxed geometry, from Alexandria via LeMat-Bulk.

Calculated values
The value obtained for the energy of formation from the pure elements is 318 meV per atom.

a = 6.2544 Å, b = 6.2544 Å, c = 6.2544 Å
α = 90.00°, β = 90.00°, γ = 90.00°
Space group F-43m (No. 216)
Inequivalent atoms, fractional coordinates:
Li1 0.0000 0.0000 0.0000 x4
Tl1 0.2500 0.2500 0.7500 x4